# RbSi2H, relaxed, DFT PBE
data_RbSi2H
_chemical_formula_sum 'Rb4 Si8 H4'
_space_group_name_H-M_alt 'I 41/a m d'
_space_group_IT_number 141
_cell_length_a 6.087
_cell_length_b 6.087
_cell_length_c 8.771
_cell_angle_alpha 90.00
_cell_angle_beta 90.00
_cell_angle_gamma 90.00
loop_
_space_group_symop_operation_xyz
'x,y,z'
'-x,-y,-z'
'-y+1/4,x+3/4,z+1/4'
'y+1/4,-x+3/4,-z+1/4'
'-x+1/2,-y,z+1/2'
'x+1/2,y,-z+1/2'
'y+1/4,-x+1/4,z+3/4'
'-y+1/4,x+1/4,-z+3/4'
'x,-y,-z'
'-x,y,z'
'-y+1/4,-x+1/4,-z+3/4'
'y+1/4,x+1/4,z+3/4'
'-x+1/2,y,-z+1/2'
'x+1/2,-y,z+1/2'
'y+1/4,x+3/4,-z+1/4'
'-y+1/4,-x+3/4,z+1/4'
'x+1/2,y+1/2,z+1/2'
'-x+1/2,-y+1/2,-z+1/2'
'-y+3/4,x+1/4,z+3/4'
'y+3/4,-x+1/4,-z+3/4'
'-x,-y+1/2,z'
'x,y+1/2,-z'
'y+3/4,-x+3/4,z+1/4'
'-y+3/4,x+3/4,-z+1/4'
'x+1/2,-y+1/2,-z+1/2'
'-x+1/2,y+1/2,z+1/2'
'-y+3/4,-x+3/4,-z+1/4'
'y+3/4,x+3/4,z+1/4'
'-x,y+1/2,-z'
'x,-y+1/2,z'
'y+3/4,x+1/4,-z+3/4'
'-y+3/4,-x+1/4,z+3/4'
loop_
_atom_site_label
_atom_site_type_symbol
_atom_site_fract_x
_atom_site_fract_y
_atom_site_fract_z
Rb1 Rb 0.000 0.250 0.375
Si1 Si 0.000 0.000 0.000
H1 H 0.000 0.250 0.875
# E_tot, eV for the cell shown: -50.70
# D(E_F), states/eV per cell: 13.8
# Offset from the most stable computed form, meV per atom: 0